[1]
Computed, not measured: an optimized crystal structure of PmHo7Sc3 at the GGA-PBE level of DFT.

Summary:
Symmetry: P3m1 (156)
Formation energy: 225 meV per atom
Energy above the most stable polymorph in this dataset: 65 meV per atom

Geometry as POSCAR:
```
PmHo7Sc3
1.0
6.939 0.000 0.000
-3.470 6.010 0.000
0.000 0.000 8.234
Pm Ho Sc
1 7 3
direct
0.000 0.000 0.000 Pm
0.003 0.501 0.988 Ho
0.331 0.166 0.342 Ho
0.333 0.667 0.332 Ho
0.499 0.501 0.988 Ho
0.499 0.997 0.988 Ho
0.834 0.166 0.342 Ho
0.834 0.669 0.342 Ho
0.168 0.335 0.664 Sc
0.168 0.832 0.664 Sc
0.665 0.832 0.664 Sc
```

***

[2]
Computed, not measured: an optimized crystal structure of Pm2Ho7Sc2 at the GGA-PBE level of DFT.

Summary:
Symmetry: Cmmm (65)
Formation energy: 351 meV per atom
Energy above the most stable polymorph in this dataset: 236 meV per atom

Geometry as POSCAR:
```
Pm2Ho7Sc2
1.0
3.225 -5.907 0.000
3.225 5.907 0.000
0.000 0.000 9.299
Pm Ho Sc
2 7 2
direct
0.248 0.248 0.000 Pm
0.752 0.752 0.000 Pm
0.000 0.000 0.500 Ho
0.000 0.500 0.193 Ho
0.000 0.500 0.807 Ho
0.500 0.000 0.193 Ho
0.500 0.000 0.807 Ho
0.500 0.500 0.321 Ho
0.500 0.500 0.679 Ho
0.271 0.729 0.500 Sc
0.729 0.271 0.500 Sc
```